Li2Nd2HoIn5: optimized geometry, PBE.

Summary:
Its crystal system is tetragonal. The calculation puts the magnetization at 0.0 Bohr magnetons per cell. As for the formation energy: -421.3 meV/atom.

abc: 10.3438 10.3438 4.5339
angles: 90.00 90.00 90.00
Fractional coordinates of all 20 atoms:
Li (0.1162, 0.3838, 0.0000)
Li (0.3838, 0.8838, 0.0000)
Li (0.6162, 0.1162, 0.0000)
Li (0.8838, 0.6162, 0.0000)
Nd (0.1781, 0.6781, 0.0000)
Nd (0.3219, 0.1781, 0.0000)
Nd (0.6781, 0.8219, 0.0000)
Nd (0.8219, 0.3219, 0.0000)
Ho (0.0000, 0.0000, 0.0000)
Ho (0.5000, 0.5000, 0.0000)
In (0.0000, 0.5000, 0.5000)
In (0.0678, 0.2109, 0.5000)
In (0.2109, 0.9322, 0.5000)
In (0.2891, 0.4322, 0.5000)
In (0.4322, 0.7109, 0.5000)
In (0.5000, 0.0000, 0.5000)
In (0.5678, 0.2891, 0.5000)
In (0.7109, 0.5678, 0.5000)
In (0.7891, 0.0678, 0.5000)
In (0.9322, 0.7891, 0.5000)